# CuNiAu2 (PBE, relaxed)
# * Fermi-level density of states: 0.593 states/eV per atom
# * crystal system: orthorhombic
# * formation energy from the elements: 0.1 eV per formula unit
# * theoretical density: 14.55 g/cm³
data_CuNiAu2
_symmetry_space_group_name_H-M 'P 1'
_symmetry_Int_Tables_number 1
_symmetry_space_group_name_Hall 'P 1'
_cell_length_a 6.541
_cell_length_b 4.533
_cell_length_c 2.907
_cell_angle_alpha 90.05
_cell_angle_beta 63.53
_cell_angle_gamma 125.35
loop_
_atom_site_label
_atom_site_fract_x
_atom_site_fract_y
_atom_site_fract_z
_atom_site_occupancy
Ni1 0.500 0.500 0.000 1
Au1 0.000 0.000 0.000 1
Au2 0.500 0.000 0.500 1
Cu1 0.000 0.500 0.500 1